(1)
Computed, not measured: a geometry-optimized Ce2TiHg structure at the PBE level of DFT.

abc: 3.129 3.129 9.726
angles: 90.00 90.00 90.00
Space group P4/mmm (No. 123)
Unique sites:
1 Ce 0.000 0.000 0.239 x2
2 Ti 0.500 0.500 0.000 x1
3 Hg 0.500 0.500 0.500 x1

Values from the calculation:
Its formation energy is -0.019 eV per atom. The value obtained for the distance to the lowest polymorph of the same formula is 0 kJ/mol of formula units. The uncorrected energy is -20.140 eV per cell. The size of the total moment is 0.000 μB per cell.

(2)
Computed, not measured: a geometry-optimized LaCoBr2 structure at the PBE level of DFT.

abc: 3.8971 3.8971 25.8656
angles: 90.00 90.00 120.00
Space group R-3m (No. 166, hexagonal axes)
Unique sites:
1 La 0.0000 0.0000 0.0000 x3
2 Co 0.0000 0.0000 0.5000 x3
3 Br 0.0000 0.0000 0.1148 x6

Values from the calculation:
The value obtained for the distance to the lowest polymorph of the same formula is 232 kJ/mol of formula units. The uncorrected energy is -49.798 eV per cell. The size of the total moment is 6.229 μB per cell.